No. 1
First-principles (PBE) data for an optimized crystal structure of Ca2CoHg, as listed in the Alexandria database.

Cell and atoms, written as extended XYZ:
```
4
Lattice="3.501 0.000 0.000 0.000 7.956 -0.556 0.000 4.922 3.496" Properties=species:S:1:pos:R:3 pbc="T T T"
Co 1.750 6.439 1.470
Hg 0.000 2.461 1.748
Ca 0.000 0.000 0.000
Ca 1.750 3.978 -0.278
```

No. 2
First-principles (PBE) data for an optimized crystal structure of Ca2CoHg, as listed in the Alexandria database.

Cell and atoms, written as extended XYZ:
```
4
Lattice="-0.062 5.046 -3.605 -1.004 -0.501 -6.099 -2.197 -1.125 5.689" Properties=species:S:1:pos:R:3 pbc="T T T"
Ca -0.012 0.051 -0.109
Ca -1.358 2.935 -1.039
Co -0.509 2.171 -4.634
Hg -1.916 0.536 -3.084
```

No. 3
First-principles (PBE) data for an optimized crystal structure of Ca4CoHg, as listed in the Alexandria database.

Cell and atoms, written as extended XYZ:
```
6
Lattice="-0.339 -6.481 0.145 -5.755 -2.936 0.633 -2.566 -3.229 -5.013" Properties=species:S:1:pos:R:3 pbc="T T T"
Ca -6.121 -6.210 -1.273
Ca -3.250 -4.745 -1.589
Ca -3.419 -7.979 -1.517
Ca -4.530 -6.356 -4.090
Co -6.495 -9.484 -3.176
Hg 0.000 0.000 0.000
```

No. 4
First-principles (PBE) data for an optimized crystal structure of Ca2CoHg, as listed in the Alexandria database.

Cell and atoms, written as extended XYZ:
```
4
Lattice="5.014 0.000 0.000 2.507 4.342 0.000 2.507 1.447 4.094" Properties=species:S:1:pos:R:3 pbc="T T T"
Ca 2.507 1.447 1.023
Ca 0.000 0.000 0.000
Hg 7.521 4.342 3.070
Co 5.014 2.895 2.047
```

No. 5
First-principles (PBE) data for an optimized crystal structure of Ca2CoHg, as listed in the Alexandria database.

Cell and atoms, written as extended XYZ:
```
4
Lattice="-3.896 -5.515 -4.432 3.058 -0.717 3.980 -2.668 -2.010 1.677" Properties=species:S:1:pos:R:3 pbc="T T T"
Hg -0.419 -3.116 -0.226
Ca 0.000 0.000 0.000
Ca -3.282 -3.763 -1.377
Co 0.195 -1.364 2.829
```

No. 6
First-principles (PBE) data for an optimized crystal structure of Ca2CoHg2, as listed in the Alexandria database.

Cell and atoms, written as extended XYZ:
```
10
Lattice="-4.015 4.798 3.611 -0.921 -4.784 5.333 3.926 1.657 2.164" Properties=species:S:1:pos:R:3 pbc="T T T"
Ca 0.646 -1.561 5.300
Ca -1.656 3.232 5.808
Ca -1.502 0.105 7.922
Ca 0.492 1.565 3.186
Hg -2.728 2.401 3.111
Hg -4.024 1.007 6.529
Hg -0.912 -0.993 2.415
Hg -2.208 -2.387 5.833
Co -2.468 0.007 4.472
Co 0.000 0.000 0.000
```

No. 7
First-principles (PBE) data for an optimized crystal structure of Ca2CoHg, as listed in the Alexandria database.

Cell and atoms, written as extended XYZ:
```
8
Lattice="-6.219 3.918 -3.173 -5.042 -4.805 3.949 -5.620 1.444 2.698" Properties=species:S:1:pos:R:3 pbc="T T T"
Hg -8.735 2.459 -0.044
Hg 0.000 0.000 0.000
Ca -5.576 1.991 -0.638
Ca -8.718 0.483 2.534
Ca -5.680 -1.934 2.570
Ca -13.788 0.575 2.483
Co -5.630 -0.443 0.388
Co -8.146 -1.902 3.518
```

No. 8
First-principles (PBE) data for an optimized crystal structure of CaCo2Hg2, as listed in the Alexandria database.

Cell and atoms, written as extended XYZ:
```
5
Lattice="-0.955 4.303 -0.749 -4.352 -1.001 -0.206 -3.071 2.433 4.553" Properties=species:S:1:pos:R:3 pbc="T T T"
Ca 0.000 0.000 0.000
Hg -5.038 1.541 1.935
Hg -3.340 4.193 1.663
Co -2.740 1.812 0.562
Co -5.638 3.922 3.036
```

Output
excess energy over the best structure of this formula in the dataset = 0 meV/atom

Sequential calculated volume output: 26.74 24.23 32.24 22.28 24.02 24.94 23.90 20.42 Å³/atom
Sequential energy relative to the elements output: 0.235 0.035 0.712 0.206 0.023 -0.044 0.231 0.166 eV per atom
Sequential D(E_F) output: 1.201 1.253 2.261 1.945 1.782 0.900 0.717 1.272 states/eV/atom